# 1
SrLa2HPb: relaxed, PBE.

Values from the calculation:
For the total magnetization, the calculation gives 0.00 Bohr magnetons per cell. The theoretical density is 6.67 g cm⁻³. The value obtained for the relative energy among the computed polymorphs is 91 meV/atom. As for the volume: 28.6 Å³ per atom.

Lattice parameters (Å, degrees): 4.9077 5.9299 4.9077 90.00 90.00 90.00
With the nearest neighbours (Å) after each atom.
Fractional coordinates of all 5 atoms:
Sr  0.5000  0.5000  0.5000  4 Pb 3.47, 8 La 3.85
Pb  0.0000  0.5000  0.0000  2 H 2.96
H  0.0000  0.0000  0.0000  4 La 2.45
La  0.5000  0.0000  0.0000  2 H 2.45
La  0.0000  0.0000  0.5000  2 H 2.45

=====

# 2
Sr2LaHPb: relaxed, PBE.

Values from the calculation:
For the total magnetization, the calculation gives 1.25 Bohr magnetons per cell. The theoretical density is 5.97 g cm⁻³. The final energy is -3.41 eV per atom. As for the volume: 29.1 Å³ per atom.

Lattice parameters (Å, degrees): 5.2962 5.2962 5.1832 90.00 90.00 90.00
With the nearest neighbours (Å) after each atom.
Fractional coordinates of all 5 atoms:
Sr  0.5000  0.0000  0.0000  2 H 2.65
Sr  0.0000  0.5000  0.0000  2 H 2.65
Pb  0.5000  0.5000  0.5000  8 Sr 3.71, 4 La 3.75
H  0.0000  0.0000  0.0000  2 La 2.59, 4 Sr 2.65
La  0.0000  0.0000  0.5000  2 H 2.59

=====

# 3
LaTl2HPb: relaxed, PBE.

Values from the calculation:
For the total magnetization, the calculation gives 0.00 Bohr magnetons per cell. The theoretical density is 10.20 g cm⁻³. The final energy is -3.57 eV per atom. As for the volume: 24.6 Å³ per atom.

Lattice parameters (Å, degrees): 5.0718 5.0718 4.7847 90.00 90.00 90.00
With the nearest neighbours (Å) after each atom.
Fractional coordinates of all 5 atoms:
Pb  0.5000  0.5000  0.5000  8 Tl 3.49, 4 La 3.59
La  0.0000  0.0000  0.5000  2 H 2.39
Tl  0.0000  0.5000  0.0000  2 H 2.54
Tl  0.5000  0.0000  0.0000  2 H 2.54
H  0.0000  0.0000  0.0000  2 La 2.39, 4 Tl 2.54

=====

# 4
La2TlHPb: relaxed, PBE.

Values from the calculation:
For the total magnetization, the calculation gives 0.18 Bohr magnetons per cell. The theoretical density is 9.12 g cm⁻³. The value obtained for the relative energy among the computed polymorphs is 0 meV/atom. As for the volume: 25.1 Å³ per atom.

Lattice parameters (Å, degrees): 5.0451 5.0451 4.9366 90.00 90.00 90.00
With the nearest neighbours (Å) after each atom.
Fractional coordinates of all 5 atoms:
Pb  0.5000  0.5000  0.5000  8 La 3.53, 4 Tl 3.57
La  0.0000  0.5000  0.0000  2 H 2.52
La  0.5000  0.0000  0.0000  2 H 2.52
H  0.0000  0.0000  0.0000  2 Tl 2.47, 4 La 2.52
Tl  0.0000  0.0000  0.5000  2 H 2.47

=====

# 5
La2Tm2HPb2: relaxed, PBE.

Values from the calculation:
For the total magnetization, the calculation gives 1.68 Bohr magnetons per cell. The theoretical density is 8.90 g cm⁻³. The final energy is -4.74 eV per atom. As for the volume: 27.5 Å³ per atom.

Lattice parameters (Å, degrees): 4.7041 4.7041 9.3060 104.64 104.64 90.00
With the nearest neighbours (Å) after each atom.
Fractional coordinates of all 7 atoms:
Pb  0.6286  0.6286  0.2571  4 Tm 3.24, 5 La 3.39-3.43
Pb  0.3714  0.3714  0.7429  4 Tm 3.24, 5 La 3.39-3.43
Tm  0.0000  0.5000  0.0000  2 H 2.35
Tm  0.5000  0.0000  0.0000  2 H 2.35
La  0.1766  0.1766  0.3532  1 H 3.07, 5 Pb 3.39-3.43
La  0.8234  0.8234  0.6468  1 H 3.07, 5 Pb 3.39-3.43
H  0.0000  0.0000  0.0000  4 Tm 2.35

=====

# 6
La2Tm4H2Pb3: relaxed, PBE.

Values from the calculation:
For the total magnetization, the calculation gives 0.06 Bohr magnetons per cell. The theoretical density is 9.12 g cm⁻³. The final energy is -4.60 eV per atom. As for the volume: 26.1 Å³ per atom.

Lattice parameters (Å, degrees): 4.7737 4.7737 13.0509 100.54 100.54 90.00
With the nearest neighbours (Å) after each atom.
Fractional coordinates of all 11 atoms:
Tm  0.9189  0.4189  0.8379  2 H 2.41
Tm  0.4189  0.9189  0.8379  2 H 2.41
Tm  0.0811  0.5811  0.1621  2 H 2.41
Tm  0.5811  0.0811  0.1621  2 H 2.41
Pb  0.0000  0.0000  0.0000  8 Tm 3.14
Pb  0.8298  0.8298  0.6595  4 Tm 3.28, 5 La 3.37-3.44
Pb  0.1702  0.1702  0.3405  4 Tm 3.28, 5 La 3.37-3.44
H  0.4054  0.4054  0.8108  4 Tm 2.41, 1 La 2.56
H  0.5946  0.5946  0.1892  4 Tm 2.41, 1 La 2.56
La  0.6959  0.6959  0.3919  1 H 2.56
La  0.3041  0.3041  0.6081  1 H 2.56

=====

# 7
LaY2HPb: relaxed, PBE.

Values from the calculation:
For the total magnetization, the calculation gives 0.00 Bohr magnetons per cell. The theoretical density is 7.23 g cm⁻³. The final energy is -5.40 eV per atom. As for the volume: 24.1 Å³ per atom.

Lattice parameters (Å, degrees): 5.0083 5.0083 4.8032 90.00 90.00 90.00
With the nearest neighbours (Å) after each atom.
Fractional coordinates of all 5 atoms:
H  0.0000  0.0000  0.0000  2 La 2.40, 4 Y 2.50
Pb  0.5000  0.5000  0.5000  8 Y 3.47, 4 La 3.54
La  0.0000  0.0000  0.5000  2 H 2.40
Y  0.5000  0.0000  0.0000  2 H 2.50
Y  0.0000  0.5000  0.0000  2 H 2.50

=====

# 8
La2ZnHPb: relaxed, PBE.

Values from the calculation:
For the total magnetization, the calculation gives 0.00 Bohr magnetons per cell. The theoretical density is 7.84 g cm⁻³. The final energy is -4.05 eV per atom. As for the volume: 23.3 Å³ per atom.

Lattice parameters (Å, degrees): 5.0715 5.0715 4.5382 90.00 90.00 90.00
With the nearest neighbours (Å) after each atom.
Fractional coordinates of all 5 atoms:
La  0.5000  0.0000  0.0000  2 H 2.54
La  0.0000  0.5000  0.0000  2 H 2.54
H  0.0000  0.0000  0.0000  2 Zn 2.27, 4 La 2.54
Pb  0.5000  0.5000  0.5000  8 La 3.40, 4 Zn 3.59
Zn  0.0000  0.0000  0.5000  2 H 2.27